Density functional theory data (PBE) for crystalline TaFeAgSb at its relaxed geometry.

Output
DFT total energy: -6.315 eV per atom
Crystal system: cubic
Energy above the most stable polymorph in this dataset: 0.00 eV/f.u.
Volume: 69 Å³/cell

extended XYZ file:
```
4
Lattice="1.805 -4.229 0.322 -2.588 -3.690 -0.966 0.817 -2.453 -3.815" Properties=species:S:1:pos:R:3 pbc="T T T"
Sb 0.000 0.000 0.000
Ag 0.017 -5.186 -2.230
Fe 0.026 -7.778 -3.345
Ta 0.009 -2.593 -1.115
```